[1]
DFT (PBE) results for an optimized crystal structure of KIrNF2.

Lattice parameters (Å, degrees): 4.663 4.663 4.892 90.00 90.00 90.00
Each line ends with the local moment (μB).
Atoms (fractional coordinates):
Ir  0.500  0.500  0.500  2.25
F  0.500  0.000  0.000  0.11
K  0.000  0.000  0.000  0.05
N  0.000  0.000  0.500  1.66
F  0.000  0.500  0.000  0.11

Calculated values
* excess energy over the best structure of this formula in the dataset: 2.155 eV per atom
* VASP energy: -16.2 eV per formula unit

=====

[2]
DFT (PBE) results for an optimized crystal structure of KIrNF2.

Lattice parameters (Å, degrees): 4.537 4.537 3.704 90.00 90.00 90.00
Each line ends with the local moment (μB).
Atoms (fractional coordinates):
Ir  0.000  0.000  0.000  0.23
F  0.500  0.000  0.000  0.02
N  0.000  0.000  0.500  0.00
F  0.000  0.500  0.000  0.02
K  0.500  0.500  0.500  0.00

Calculated values
* excess energy over the best structure of this formula in the dataset: 0.000 eV per atom
* VASP energy: -27.0 eV per formula unit

=====

[3]
DFT (PBE) results for an optimized crystal structure of KIrN2F.

Lattice parameters (Å, degrees): 4.972 4.972 4.575 90.00 90.00 90.00
Each line ends with the local moment (μB).
Atoms (fractional coordinates):
K  0.000  0.000  0.000  0.08
N  0.000  0.500  0.000  1.63
F  0.000  0.000  0.500  0.09
Ir  0.500  0.500  0.500  2.06
N  0.500  0.000  0.000  1.63

Calculated values
* excess energy over the best structure of this formula in the dataset: 2.724 eV per atom
* VASP energy: -16.2 eV per formula unit

=====

[4]
DFT (PBE) results for an optimized crystal structure of KIrN2F.

Lattice parameters (Å, degrees): 3.733 3.733 6.539 90.00 90.00 90.00
Each line ends with the local moment (μB).
Atoms (fractional coordinates):
Ir  0.000  0.000  0.000  -0.04
N  0.500  0.000  0.000  0.12
N  0.000  0.500  0.000  0.12
F  0.000  0.000  0.500  -0.01
K  0.500  0.500  0.500  0.00

Calculated values
* excess energy over the best structure of this formula in the dataset: 0.000 eV per atom
* VASP energy: -29.8 eV per formula unit

=====

[5]
DFT (PBE) results for an optimized crystal structure of K2Na3IrF12.

Lattice parameters (Å, degrees): 8.140 8.140 8.140 55.19 55.19 55.19
Each line ends with the local moment (μB).
Atoms (fractional coordinates):
F  0.292  0.933  0.933  0.13
Ir  0.000  0.000  0.000  1.36
F  0.640  0.640  0.099  0.26
F  0.360  0.901  0.360  0.26
F  0.099  0.640  0.640  0.26
F  0.067  0.067  0.708  0.13
F  0.933  0.292  0.933  0.13
Na  0.000  0.500  0.000  0.00
F  0.640  0.099  0.640  0.26
F  0.067  0.708  0.067  0.13
F  0.933  0.933  0.292  0.13
Na  0.500  0.000  0.000  0.00
K  0.592  0.592  0.592  0.00
Na  0.000  0.000  0.500  0.00
F  0.901  0.360  0.360  0.26
F  0.708  0.067  0.067  0.13
K  0.408  0.408  0.408  0.00
F  0.360  0.360  0.901  0.26

Calculated values
* VASP energy: -73.3 eV per formula unit

=====

[6]
DFT (PBE) results for an optimized crystal structure of KIrO2F.

Lattice parameters (Å, degrees): 3.720 3.720 6.503 90.00 90.00 90.00
Each line ends with the local moment (μB).
Atoms (fractional coordinates):
O  0.500  0.000  0.000  0.06
O  0.000  0.500  0.000  0.06
Ir  0.000  0.000  0.000  0.22
K  0.500  0.500  0.500  0.00
F  0.000  0.000  0.500  0.01

Calculated values
* VASP energy: -28.2 eV per formula unit

=====

[7]
DFT (PBE) results for an optimized crystal structure of K5IrO4F2.

Lattice parameters (Å, degrees): 6.478 6.102 7.408 90.00 90.00 122.06
Atoms (fractional coordinates):
F  0.370  0.405  0.500
K  0.709  0.629  0.241
K  0.080  0.371  0.241
O  0.373  0.289  0.000
Ir  0.398  0.000  0.000
O  0.613  0.000  0.178
O  0.613  0.000  0.822
F  0.965  0.595  0.500
K  0.411  0.000  0.500
K  0.080  0.371  0.759
O  0.084  0.711  0.000
K  0.709  0.629  0.759

Calculated values
* VASP energy: -57.4 eV per formula unit

=====

[8]
DFT (PBE) results for an optimized crystal structure of KIrO2F.

Lattice parameters (Å, degrees): 4.529 4.529 4.507 90.00 90.00 90.00
Each line ends with the local moment (μB).
Atoms (fractional coordinates):
F  0.000  0.000  0.500  0.11
O  0.500  0.000  0.000  1.01
K  0.000  0.000  0.000  0.09
O  0.000  0.500  0.000  1.01
Ir  0.500  0.500  0.500  2.37

Calculated values
* VASP energy: -15.9 eV per formula unit

=====

[9]
DFT (PBE) results for an optimized crystal structure of K2RbIrF6.

Lattice parameters (Å, degrees): 6.018 7.386 9.145 90.00 90.00 90.00
Each line ends with the local moment (μB).
Atoms (fractional coordinates):
F  0.755  0.629  0.000  0.01
Ir  0.000  0.818  0.000  0.15
F  0.500  0.182  0.277  0.00
Ir  0.500  0.182  0.500  0.15
F  0.263  0.983  0.500  0.01
K  0.000  0.165  0.296  0.00
F  0.745  0.371  0.500  0.01
K  0.000  0.165  0.704  0.00
Rb  0.000  0.674  0.500  0.00
F  0.245  0.629  0.000  0.01
F  0.737  0.983  0.500  0.01
F  0.500  0.182  0.723  0.00
F  0.763  0.017  0.000  0.01
F  0.255  0.371  0.500  0.01
K  0.500  0.835  0.796  0.00
F  0.237  0.017  0.000  0.01
F  0.000  0.818  0.777  0.00
K  0.500  0.835  0.204  0.00
Rb  0.500  0.326  0.000  0.00
F  0.000  0.818  0.223  0.00

Calculated values
* excess energy over the best structure of this formula in the dataset: 0.000 eV per atom
* VASP energy: -45.8 eV per formula unit

=====

[10]
DFT (PBE) results for an optimized crystal structure of KRb2IrF8.

Lattice parameters (Å, degrees): 6.114 6.114 7.181 115.20 115.20 90.00
Each line ends with the local moment (μB).
Atoms (fractional coordinates):
F  0.545  0.047  0.706  0.00
F  0.953  0.839  0.294  0.00
F  0.161  0.659  0.706  0.00
Rb  0.000  0.000  0.000  0.00
F  0.953  0.455  0.294  0.00
Rb  0.750  0.250  0.500  0.00
F  0.341  0.839  0.294  0.00
F  0.545  0.659  0.706  0.00
Ir  0.250  0.750  0.500  0.06
F  0.161  0.047  0.706  0.00
K  0.500  0.500  0.000  0.00
F  0.341  0.455  0.294  0.00

Calculated values
* VASP energy: -52.5 eV per formula unit

=====

[11]
DFT (PBE) results for an optimized crystal structure of KRb2IrF6.

Lattice parameters (Å, degrees): 6.437 6.437 6.437 60.00 60.00 60.00
Atoms (fractional coordinates):
K  0.500  0.500  0.500
F  0.224  0.224  0.776
F  0.224  0.776  0.776
F  0.224  0.776  0.224
F  0.776  0.224  0.224
Ir  0.000  0.000  0.000
F  0.776  0.776  0.224
F  0.776  0.224  0.776
Rb  0.750  0.750  0.750
Rb  0.250  0.250  0.250

Calculated values
* VASP energy: -45.9 eV per formula unit

=====

[12]
DFT (PBE) results for an optimized crystal structure of K2RbIrF6.

Lattice parameters (Å, degrees): 6.546 6.546 6.546 60.00 60.00 60.00
Each line ends with the local moment (μB).
Atoms (fractional coordinates):
F  0.781  0.781  0.219  0.01
Rb  0.500  0.500  0.500  0.00
F  0.781  0.219  0.219  0.01
F  0.219  0.781  0.781  0.01
F  0.219  0.781  0.219  0.01
F  0.781  0.219  0.781  0.01
F  0.219  0.219  0.781  0.01
K  0.750  0.750  0.750  0.00
K  0.250  0.250  0.250  0.00
Ir  0.000  0.000  0.000  0.15

Calculated values
* excess energy over the best structure of this formula in the dataset: 0.041 eV per atom
* VASP energy: -45.4 eV per formula unit

=====

[13]
DFT (PBE) results for an optimized crystal structure of K2IrSeF.

Lattice parameters (Å, degrees): 6.338 4.461 6.338 90.00 90.00 90.00
Atoms (fractional coordinates):
Ir  0.000  0.500  0.000
Se  0.000  0.000  0.000
K  0.500  0.000  0.000
F  0.500  0.500  0.500
K  0.000  0.000  0.500

Calculated values
* VASP energy: -19.6 eV per formula unit

=====

[14]
DFT (PBE) results for an optimized crystal structure of K2SrIrF8.

Lattice parameters (Å, degrees): 4.302 6.134 7.801 90.00 90.00 96.01
Each line ends with the local moment (μB).
Atoms (fractional coordinates):
F  0.500  0.769  0.500  0.00
Sr  0.000  0.000  0.500  0.00
F  0.612  0.808  0.000  0.08
F  0.388  0.192  0.000  0.08
F  0.084  0.807  0.802  0.02
F  0.916  0.193  0.198  0.02
K  0.500  0.500  0.245  0.00
F  0.916  0.193  0.802  0.02
Ir  0.000  0.000  0.000  0.73
K  0.500  0.500  0.755  0.00
F  0.500  0.231  0.500  0.00
F  0.084  0.807  0.198  0.02

Calculated values
* VASP energy: -58.2 eV per formula unit

=====

[15]
DFT (PBE) results for an optimized crystal structure of KSrIrF6.

Lattice parameters (Å, degrees): 5.564 5.949 5.949 120.00 90.00 90.00
Each line ends with the local moment (μB).
Atoms (fractional coordinates):
F  0.710  0.718  0.716  0.01
F  0.290  0.284  0.282  0.01
F  0.710  0.284  0.003  0.01
F  0.290  0.718  0.003  0.01
Ir  0.500  0.000  0.000  0.16
F  0.290  0.997  0.716  0.01
Sr  0.500  0.667  0.333  0.00
F  0.710  0.997  0.282  0.01
K  0.000  0.333  0.667  0.00

Calculated values
* VASP energy: -45.6 eV per formula unit

=====

[16]
DFT (PBE) results for an optimized crystal structure of KSrIrF2.

Lattice parameters (Å, degrees): 4.768 6.453 4.768 90.00 90.00 90.00
Each line ends with the local moment (μB).
Atoms (fractional coordinates):
K  0.500  0.500  0.500  0.01
F  0.500  0.000  0.000  0.00
Ir  0.000  0.500  0.000  1.82
F  0.000  0.000  0.500  0.00
Sr  0.000  0.000  0.000  0.00

Calculated values
* VASP energy: -21.7 eV per formula unit